# 1
# ErMgH, relaxed, DFT PBE-GGA
data_ErMgH
_chemical_formula_sum 'Er1 Mg1 H1'
_cell_length_a 3.519
_cell_length_b 3.519
_cell_length_c 5.686
_cell_angle_alpha 90.00
_cell_angle_beta 90.00
_cell_angle_gamma 120.00
_space_group_name_H-M_alt 'P 1'
_space_group_IT_number 1
_space_group_name_Hall 'P 1'
loop_
_atom_site_label
_atom_site_fract_x
_atom_site_fract_y
_atom_site_fract_z
Er1 0.000 0.000 0.000
Mg1 0.333 0.667 0.502
H1 0.667 0.333 0.080
# DOS(E_F) in states/eV/f.u.: 2.25
# M_tot in μB per atom: 0.00
# Energy above the most stable polymorph in this dataset in meV/atom: 3

***

# 2
# ZrTl3Sb, relaxed, DFT PBE-GGA
data_ZrTl3Sb
_chemical_formula_sum 'Zr1 Tl3 Sb1'
_cell_length_a 5.678
_cell_length_b 5.678
_cell_length_c 5.678
_cell_angle_alpha 90.00
_cell_angle_beta 90.00
_cell_angle_gamma 90.00
_space_group_name_H-M_alt 'P 1'
_space_group_IT_number 1
_space_group_name_Hall 'P 1'
loop_
_atom_site_label
_atom_site_fract_x
_atom_site_fract_y
_atom_site_fract_z
Zr1 0.000 0.000 0.000
Tl1 0.000 0.000 0.500
Tl2 0.000 0.500 0.000
Tl3 0.500 0.000 0.000
Sb1 0.500 0.500 0.500
# DOS(E_F) in states/eV/f.u.: 4.61
# M_tot in μB per atom: 0.00
# Energy above the most stable polymorph in this dataset in meV/atom: 0

***

# 3
# Y6Bi2TeSe3, relaxed, DFT PBE-GGA
data_Y6Bi2TeSe3
_chemical_formula_sum 'Y6 Bi2 Te1 Se3'
_cell_length_a 9.571
_cell_length_b 9.571
_cell_length_c 8.571
_cell_angle_alpha 103.74
_cell_angle_beta 103.74
_cell_angle_gamma 25.63
_space_group_name_H-M_alt 'P 1'
_space_group_IT_number 1
_space_group_name_Hall 'P 1'
loop_
_atom_site_label
_atom_site_fract_x
_atom_site_fract_y
_atom_site_fract_z
Y1 0.005 0.005 0.231
Y2 0.327 0.327 0.428
Y3 0.339 0.339 0.903
Y4 0.661 0.661 0.097
Y5 0.673 0.673 0.572
Y6 0.995 0.995 0.769
Bi1 0.166 0.166 0.833
Bi2 0.834 0.834 0.167
Te1 0.500 0.500 0.500
Se1 0.166 0.166 0.335
Se2 0.500 0.500 0.000
Se3 0.834 0.834 0.665
# Calculated total energy in eV per atom: -6.407
# DOS(E_F) in states/eV/f.u.: 5.31
# M_tot in μB per atom: 0.00